Computed, not measured: an optimized crystal structure of Pu3CoP2Rh9 at the GGA-PBE level of DFT.

Structure (CIF):
```
data_Pu3CoP2Rh9
_chemical_formula_sum 'Pu3 Co1 P2 Rh9'
_cell_length_a 6.1011
_cell_length_b 6.1011
_cell_length_c 8.4635
_cell_angle_alpha 90.00
_cell_angle_beta 90.00
_cell_angle_gamma 120.00
_symmetry_space_group_name_H-M 'P -3 m 1'
_symmetry_Int_Tables_number 164
_symmetry_space_group_name_Hall '-P 3 2"'
loop_
_atom_site_label
_atom_site_type_symbol
_atom_site_fract_x
_atom_site_fract_y
_atom_site_fract_z
Pu1 Pu 0.0000 0.0000 0.0000
Pu2 Pu 0.3333 0.6667 0.6432
Co1 Co 0.0000 0.0000 0.5000
P1 P 0.3333 0.6667 0.1696
Rh1 Rh 0.0000 0.5000 0.0000
Rh2 Rh 0.1510 0.3020 0.2882
```

Output
DFT formation energy: -0.2819 eV per atom
Total moment: 1.137 μB per atom
E_tot: -131.3 eV per formula unit

=====

Computed, not measured: an optimized crystal structure of ErZn2Au at the GGA-PBE level of DFT.

Structure (CIF):
```
data_ErZn2Au
_chemical_formula_sum 'Er2 Zn4 Au2'
_cell_length_a 4.357
_cell_length_b 5.751
_cell_length_c 6.188
_cell_angle_alpha 90.00
_cell_angle_beta 90.00
_cell_angle_gamma 90.00
_symmetry_space_group_name_H-M 'P m m n'
_symmetry_Int_Tables_number 59
loop_
_symmetry_equiv_pos_as_xyz
'x,y,z'
'-x,-y,-z'
'-x+1/2,-y+1/2,z'
'x+1/2,y+1/2,-z'
'x+1/2,-y,-z'
'-x+1/2,y,z'
'-x,y+1/2,-z'
'x,-y+1/2,z'
loop_
_atom_site_label
_atom_site_type_symbol
_atom_site_fract_x
_atom_site_fract_y
_atom_site_fract_z
Er1 Er 0.250 0.250 0.083
Zn1 Zn 0.250 0.509 0.630
Au1 Au 0.250 0.750 0.244
```

Output
DFT formation energy: -0.5062 eV per atom
Total moment: 0.000 μB per atom
E_tot: -12.4 eV per formula unit

=====

Computed, not measured: an optimized crystal structure of BeFeCl3 at the GGA-PBE level of DFT.

Structure (CIF):
```
data_BeFeCl3
_chemical_formula_sum 'Be1 Fe1 Cl3'
_cell_length_a 4.498
_cell_length_b 4.498
_cell_length_c 4.498
_cell_angle_alpha 90.00
_cell_angle_beta 90.00
_cell_angle_gamma 90.00
_symmetry_space_group_name_H-M 'P m -3 m'
_symmetry_Int_Tables_number 221
_symmetry_space_group_name_Hall '-P 4 2 3'
loop_
_atom_site_label
_atom_site_type_symbol
_atom_site_fract_x
_atom_site_fract_y
_atom_site_fract_z
Be1 Be 0.000 0.000 0.000
Fe1 Fe 0.500 0.500 0.500
Cl1 Cl 0.000 0.000 0.500
```

Output
Distance to the lowest polymorph of the same formula: 0.00 kJ/mol of atoms
Raw formation energy: -0.140 eV per atom
Total moment: 0.704 μB per atom
E_tot: -18.4 eV per formula unit

=====

Computed, not measured: an optimized crystal structure of Ac2Pr3SmTe6 at the GGA-PBE level of DFT.

Structure (CIF):
```
data_Ac2Pr3SmTe6
_chemical_formula_sum 'Ac4 Pr6 Sm2 Te12'
_cell_length_a 7.911
_cell_length_b 13.788
_cell_length_c 7.959
_cell_angle_alpha 90.00
_cell_angle_beta 109.58
_cell_angle_gamma 90.00
_symmetry_space_group_name_H-M 'C 1 2/m 1'
_symmetry_Int_Tables_number 12
loop_
_symmetry_equiv_pos_as_xyz
'x,y,z'
'-x,-y,-z'
'-x,y,-z'
'x,-y,z'
'x+1/2,y+1/2,z'
'-x+1/2,-y+1/2,-z'
'-x+1/2,y+1/2,-z'
'x+1/2,-y+1/2,z'
loop_
_atom_site_label
_atom_site_type_symbol
_atom_site_fract_x
_atom_site_fract_y
_atom_site_fract_z
Ac1 Ac 0.000 0.165 0.000
Pr1 Pr 0.000 0.000 0.500
Pr2 Pr 0.000 0.325 0.500
Sm1 Sm 0.000 0.500 0.000
Te1 Te 0.233 0.500 0.738
Te2 Te 0.244 0.339 0.252
```

Output
Raw formation energy: -1.443 eV per atom
Total moment: 0.000 μB per atom
E_tot: -63.4 eV per formula unit

=====

Computed, not measured: an optimized crystal structure of BaScTeI2 at the GGA-PBE level of DFT.

Structure (CIF):
```
data_BaScTeI2
_chemical_formula_sum 'Ba1 Sc1 Te1 I2'
_cell_length_a 5.705
_cell_length_b 5.705
_cell_length_c 5.777
_cell_angle_alpha 90.00
_cell_angle_beta 90.00
_cell_angle_gamma 90.00
_symmetry_space_group_name_H-M 'P 4/m m m'
_symmetry_Int_Tables_number 123
_symmetry_space_group_name_Hall '-P 4 2'
loop_
_atom_site_label
_atom_site_type_symbol
_atom_site_fract_x
_atom_site_fract_y
_atom_site_fract_z
Ba1 Ba 0.000 0.000 0.000
Sc1 Sc 0.500 0.500 0.500
Te1 Te 0.500 0.500 0.000
I1 I 0.000 0.500 0.500
```

Output
Distance to the lowest polymorph of the same formula: 0.00 kJ/mol of atoms
Raw formation energy: -1.192 eV per atom
Total moment: 0.000 μB per atom
E_tot: -20.5 eV per formula unit

=====

Computed, not measured: an optimized crystal structure of CsPt2N at the GGA-PBE level of DFT.

Structure (CIF):
```
data_CsPt2N
_chemical_formula_sum 'Cs4 Pt8 N4'
_cell_length_a 5.687
_cell_length_b 5.687
_cell_length_c 11.482
_cell_angle_alpha 90.00
_cell_angle_beta 90.00
_cell_angle_gamma 90.00
_symmetry_space_group_name_H-M 'I 41/a m d'
_symmetry_Int_Tables_number 141
loop_
_symmetry_equiv_pos_as_xyz
'x,y,z'
'-x,-y,-z'
'-y+1/4,x+3/4,z+1/4'
'y+1/4,-x+3/4,-z+1/4'
'-x+1/2,-y,z+1/2'
'x+1/2,y,-z+1/2'
'y+1/4,-x+1/4,z+3/4'
'-y+1/4,x+1/4,-z+3/4'
'x,-y,-z'
'-x,y,z'
'-y+1/4,-x+1/4,-z+3/4'
'y+1/4,x+1/4,z+3/4'
'-x+1/2,y,-z+1/2'
'x+1/2,-y,z+1/2'
'y+1/4,x+3/4,-z+1/4'
'-y+1/4,-x+3/4,z+1/4'
'x+1/2,y+1/2,z+1/2'
'-x+1/2,-y+1/2,-z+1/2'
'-y+3/4,x+1/4,z+3/4'
'y+3/4,-x+1/4,-z+3/4'
'-x,-y+1/2,z'
'x,y+1/2,-z'
'y+3/4,-x+3/4,z+1/4'
'-y+3/4,x+3/4,-z+1/4'
'x+1/2,-y+1/2,-z+1/2'
'-x+1/2,y+1/2,z+1/2'
'-y+3/4,-x+3/4,-z+1/4'
'y+3/4,x+3/4,z+1/4'
'-x,y+1/2,-z'
'x,-y+1/2,z'
'y+3/4,x+1/4,-z+3/4'
'-y+3/4,-x+1/4,z+3/4'
loop_
_atom_site_label
_atom_site_type_symbol
_atom_site_fract_x
_atom_site_fract_y
_atom_site_fract_z
Cs1 Cs 0.000 0.250 0.375
Pt1 Pt 0.000 0.000 0.000
N1 N 0.000 0.250 0.875
```

Output
Raw formation energy: 0.119 eV per atom
Total moment: 0.000 μB per atom
E_tot: -20.8 eV per formula unit

=====

Computed, not measured: an optimized crystal structure of Cr2Ni2Ru at the GGA-PBE level of DFT.

Structure (CIF):
```
data_Cr2Ni2Ru
_chemical_formula_sum 'Cr4 Ni4 Ru2'
_cell_length_a 6.717
_cell_length_b 6.717
_cell_length_c 2.644
_cell_angle_alpha 90.00
_cell_angle_beta 90.00
_cell_angle_gamma 90.00
_symmetry_space_group_name_H-M 'P 4/m b m'
_symmetry_Int_Tables_number 127
_symmetry_space_group_name_Hall '-P 4 2ab'
loop_
_atom_site_label
_atom_site_type_symbol
_atom_site_fract_x
_atom_site_fract_y
_atom_site_fract_z
Cr1 Cr 0.175 0.325 0.000
Ni1 Ni 0.123 0.623 0.500
Ru1 Ru 0.000 0.000 0.500
```

Output
DFT formation energy: 0.2024 eV per atom
Distance to the lowest polymorph of the same formula: 0.00 kJ/mol of atoms
Total moment: 0.184 μB per atom
E_tot: -39.1 eV per formula unit